GGA-PBE La2CuPbN, relaxed; space group = P4/mmm; formation energy (no corrections) = -625.5 meV per atom
1.0
-1.6403 -2.5475 4.3213
4.8780 0.2504 1.9991
-0.9093 3.5872 1.7695
Pb La Cu N
1 2 1 1
Cartesian
1.1642 0.6451 4.0450
-0.8201 -1.2737 2.1607
2.4390 0.1252 0.9996
-0.4547 1.7936 0.8848
0.0000 0.0000 0.0000